Entry i
Al2IrCl | the Alexandria database | SCAN | PBEsol geometry; N(E_F) = 0.9 states/eV/f.u.; space-group type = Pmmm; total magnetization = 0.00 μB per formula unit
1.0
2.949 0.000 0.000
0.000 2.984 0.000
0.000 0.000 7.229
Al Cl Ir
2 1 1
direct
0.500 0.000 0.709
0.500 0.000 0.291
0.500 0.500 0.000
0.000 0.500 0.500


Entry ii
Al2IrCl | the Alexandria database | SCAN | PBEsol geometry; N(E_F) = 1.3 states/eV/f.u.; space-group type = P4/mmm; total magnetization = 0.00 μB per formula unit
1.0
2.934 0.000 0.000
0.000 2.934 0.000
0.000 0.000 7.347
Cl Ir Al
1 1 2
direct
0.500 0.500 0.000
0.500 0.500 0.500
0.000 0.000 0.288
0.000 0.000 0.712


Entry iii
Al2IrCl | the Alexandria database | SCAN | PBEsol geometry; N(E_F) = 1.5 states/eV/f.u.; space-group type = Fm-3m; total magnetization = 0.00 μB per formula unit
1.0
-1.439 0.616 4.182
-0.645 -3.513 2.680
2.756 -0.721 3.438
Ir Al Cl
1 2 1
direct
0.500 0.500 0.500
0.750 0.750 0.750
0.250 0.250 0.250
0.000 0.000 0.000


Entry iv
Al2IrCl | the Alexandria database | SCAN | PBEsol geometry; N(E_F) = 0.9 states/eV/f.u.; space-group type = F-43m; total magnetization = 0.00 μB per formula unit
1.0
4.469 0.000 0.000
2.234 3.870 0.000
2.234 1.290 3.649
Ir Al Cl
1 2 1
direct
0.250 0.250 0.250
0.000 0.000 0.000
0.750 0.750 0.750
0.500 0.500 0.500


Which one is most stable, and which one is least stable? entry i is the most stable of them, while entry iv is the least stable.


Entry i
Li2AlCl | the Alexandria database | SCAN | PBEsol geometry; N(E_F) = 1.6 states/eV/f.u.; space-group type = P4/mmm; total magnetization = 0.00 μB per formula unit
1.0
-0.719 -1.159 2.836
-3.434 -2.685 -1.968
3.144 -3.544 -0.651
Li Al Cl
2 1 1
direct
0.000 0.500 0.000
0.000 0.000 0.500
0.500 0.500 0.500
0.500 0.000 0.000


Entry ii
Li2AlCl | the Alexandria database | SCAN | PBEsol geometry; N(E_F) = 0.9 states/eV/f.u.; space-group type = R3m; total magnetization = 0.01 μB per formula unit
1.0
3.250 0.000 0.000
1.625 2.815 0.000
1.625 0.938 8.278
Li Al Cl
2 1 1
direct
0.755 0.755 0.736
0.982 0.982 0.053
0.502 0.502 0.495
0.262 0.262 0.215


Which one is most stable, and which one is least stable? entry ii is the most stable of them, while entry i is the least stable.


Entry i
LiAlCl2 | the Alexandria database | SCAN | PBEsol geometry; N(E_F) = 0.0 states/eV/f.u.; space-group type = Cm; total magnetization = 0.00 μB per formula unit
1.0
-1.914 -2.219 -1.742
0.859 -3.865 3.981
-3.742 4.263 2.016
Cl Al Li
2 1 1
direct
0.043 0.825 0.086
0.799 0.227 0.598
0.251 0.868 0.503
0.407 0.580 0.813


Entry ii
LiAlCl2 | the Alexandria database | SCAN | PBEsol geometry; space-group type = Pm; total magnetization = 0.00 μB per formula unit
1.0
-3.361 -0.355 -0.071
0.496 -4.981 1.419
-0.490 3.836 4.038
Cl Al Li
2 1 1
direct
0.500 0.654 0.277
0.000 0.020 0.912
0.500 0.307 0.816
0.000 0.519 0.495


Which one is most stable, and which one is least stable? entry ii is the most stable of them, while entry i is the least stable.


Entry i
MnAl2Cl | the Alexandria database | SCAN | PBEsol geometry; N(E_F) = 0.9 states/eV/f.u.; space-group type = Pmm2; total magnetization = 3.28 μB per formula unit
1.0
-1.064 1.221 -2.267
-2.918 -3.716 -0.632
-3.300 2.133 2.698
Cl Al Mn
1 2 1
direct
0.500 0.377 0.000
0.000 0.876 0.000
0.000 0.373 0.500
0.500 0.874 0.500


Entry ii
MnAl2Cl | the Alexandria database | SCAN | PBEsol geometry; N(E_F) = 1.3 states/eV/f.u.; space-group type = Cm; total magnetization = 2.12 μB per formula unit
1.0
2.828 0.000 0.000
0.000 4.637 0.355
-1.414 -1.633 4.490
Al Cl Mn
2 1 1
direct
0.753 0.278 0.505
0.958 0.913 0.916
0.557 0.494 0.115
0.232 0.815 0.465


Entry iii
MnAl2Cl | the Alexandria database | SCAN | PBEsol geometry; N(E_F) = 1.9 states/eV/f.u.; space-group type = Immm; total magnetization = 3.83 μB per formula unit
1.0
3.000 0.000 0.000
0.000 4.902 0.000
-1.500 -2.451 4.454
Al Cl Mn
2 1 1
direct
0.757 0.757 0.514
0.243 0.243 0.486
0.000 0.500 0.000
0.500 0.000 0.000


Which one is most stable, and which one is least stable? entry i is the most stable of them, while entry iii is the least stable.